Compound: Rb2AgI4
Source: Alexandria via LeMat-Bulk
Functional: GGA-PBE
Structure: optimized geometry

Summary:
Uncorrected formation energy in kJ/mol of formula units: -616.4
M_tot in μB per atom: 0.0000
E above lowest polymorph in eV per atom: 0.000
SG: No. 11
E_tot in eV per atom: -2.482

Unit cell a=6.586 b=8.738 c=12.871 alpha=95.69 beta=90.00 gamma=90.00
Fractional positions:
I 0.750 0.067 0.364
I 0.995 0.444 0.693
I 0.495 0.556 0.307
I 0.505 0.444 0.693
I 0.250 0.790 0.987
I 0.005 0.556 0.307
I 0.750 0.210 0.013
I 0.250 0.933 0.636
Rb 0.750 0.815 0.110
Rb 0.250 0.234 0.450
Rb 0.750 0.766 0.550
Rb 0.250 0.185 0.890
Ag 0.750 0.298 0.225
Ag 0.250 0.702 0.775